[1]
Computed, not measured: a relaxed MnBe2Se crystal at the PBE level of DFT.

```
data_MnBe2Se
_cell_length_a 3.448
_cell_length_b 3.448
_cell_length_c 7.744
_cell_angle_alpha 90.00
_cell_angle_beta 90.00
_cell_angle_gamma 90.00
_space_group_name_H-M_alt 'I 4/m m m'
_space_group_IT_number 139
_space_group_name_Hall '-I 4 2'
loop_
_atom_site_label
_atom_site_type_symbol
_atom_site_fract_x
_atom_site_fract_y
_atom_site_fract_z
Mn1 Mn 0.000 0.000 0.000
Be1 Be 0.000 0.500 0.250
Se1 Se 0.000 0.000 0.500
```

[2]
# Mn2BeSe (PBE, relaxed)
# **Relative energy among the computed polymorphs**: 128 meV per atom
data_Mn2BeSe
_cell_length_a 5.604
_cell_length_b 5.604
_cell_length_c 5.604
_cell_angle_alpha 90.00
_cell_angle_beta 90.00
_cell_angle_gamma 90.00
_space_group_name_H-M_alt 'F m -3 m'
_space_group_IT_number 225
_space_group_name_Hall '-F 4 2 3'
loop_
_atom_site_label
_atom_site_type_symbol
_atom_site_fract_x
_atom_site_fract_y
_atom_site_fract_z
Mn1 Mn 0.250 0.250 0.250
Be1 Be 0.000 0.000 0.000
Se1 Se 0.000 0.000 0.500

The records above yield energy relative to the elements, uncorrected values of 6.2, 5.3 kcal/mol of atoms, respectively.
The records above yield D(E_F) values of 1.42, 9.27 states/eV/f.u., respectively.
The records above yield total magnetization values of 4.15, 6.55 Bohr magnetons per cell, respectively.